The following is a DFT calculation (GGA-PBE) of a relaxed ZrAu4 crystal.

Geometry as POSCAR:
```
ZrAu4
1.0
5.068 0.000 0.000
0.000 4.910 0.000
0.000 0.000 14.492
Zr Au
4 16
Direct
0.158 0.250 0.098 Zr
0.342 0.750 0.598 Zr
0.658 0.250 0.402 Zr
0.842 0.750 0.902 Zr
0.160 0.250 0.299 Au
0.160 0.250 0.899 Au
0.163 0.250 0.500 Au
0.173 0.250 0.697 Au
0.327 0.750 0.197 Au
0.337 0.750 0.000 Au
0.340 0.750 0.399 Au
0.340 0.750 0.799 Au
0.660 0.250 0.201 Au
0.660 0.250 0.601 Au
0.663 0.250 0.000 Au
0.673 0.250 0.803 Au
0.827 0.750 0.303 Au
0.837 0.750 0.500 Au
0.840 0.750 0.101 Au
0.840 0.750 0.701 Au
```

Computed properties:
Energy of formation from the pure elements: -202 kJ/mol of formula units
Calculated volume: 18.03 Å³ per atom



The following is a DFT calculation (GGA-PBE) of a relaxed TbHo2NiPd2Pb3 crystal.

Geometry as POSCAR:
```
TbHo2NiPd2Pb3
1.0
3.808 0.000 0.000
0.000 6.758 3.894
0.000 -6.758 3.894
Tb Ho Ni Pd Pb
1 2 1 2 3
Direct
0.000 0.000 0.000 Tb
0.000 0.400 0.801 Ho
0.000 0.801 0.400 Ho
0.000 0.401 0.401 Ni
0.500 0.068 0.732 Pd
0.500 0.732 0.068 Pd
0.500 0.143 0.401 Pb
0.500 0.401 0.143 Pb
0.500 0.658 0.658 Pb
```

Computed properties:
E_tot: -5.189 eV/atom
Calculated volume: 22.27 Å³ per atom



In the order shown, the computed ρ values come out to 16.2; 11.4 g/cm³.